[1]
Entry from Alexandria: Ba2MnCl at its PBEsol-relaxed geometry (meta-GGA SCAN).

Structure (POSCAR):
```
Ba2MnCl
1.0
4.355 0.000 0.000
0.000 4.782 0.000
0.000 0.000 6.535
Ba Mn Cl
2 1 1
Cartesian
0.000 0.000 0.000 Ba
2.178 2.391 3.267 Ba
0.000 0.000 3.267 Mn
2.178 2.391 0.000 Cl
```

SG: Pmmm, No. 47
formation energy without anion corrections: -0.7404 eV per atom
V: 34.0 Å³/atom


[2]
Entry from Alexandria: Ba2MnCl at its PBEsol-relaxed geometry (meta-GGA SCAN).

Structure (POSCAR):
```
Ba2MnCl
1.0
3.842 0.000 0.000
0.000 3.842 0.000
0.000 0.000 8.499
Ba Mn Cl
2 1 1
Cartesian
0.000 0.000 2.071 Ba
0.000 0.000 6.427 Ba
1.921 1.921 0.000 Mn
1.921 1.921 4.249 Cl
```

SG: P4/mmm, No. 123
formation energy without anion corrections: -0.7450 eV per atom
V: 31.4 Å³/atom


[3]
Entry from Alexandria: Ba2MnCl at its PBEsol-relaxed geometry (meta-GGA SCAN).

Structure (POSCAR):
```
Ba2MnCl
1.0
0.000 3.959 3.959
3.959 0.000 3.959
3.959 3.959 0.000
Ba Mn Cl
2 1 1
Cartesian
0.000 0.000 0.000 Ba
1.979 1.979 1.979 Ba
3.959 3.959 3.959 Mn
5.938 5.938 5.938 Cl
```

SG: F-43m, No. 216
formation energy without anion corrections: -0.1028 eV per atom
V: 31.0 Å³/atom


[4]
Entry from Alexandria: Ba2MnSi2ClO7 at its PBEsol-relaxed geometry (meta-GGA SCAN).

Structure (POSCAR):
```
Ba2MnSi2ClO7
1.0
8.497 0.000 0.000
0.000 8.497 0.000
0.000 0.000 5.407
Ba Mn Si Cl O
4 2 4 2 14
Cartesian
1.446 2.802 0.000 Ba
2.802 7.051 0.000 Ba
5.694 1.446 0.000 Ba
7.051 5.694 0.000 Ba
0.000 0.000 3.356 Mn
4.248 4.248 3.356 Mn
1.105 5.353 2.820 Si
3.143 1.105 2.820 Si
5.353 7.391 2.820 Si
7.391 3.143 2.820 Si
0.000 0.000 0.833 Cl
4.248 4.248 0.833 Cl
0.000 4.248 3.430 O
0.675 6.748 3.567 O
1.097 5.345 1.218 O
1.749 0.675 3.567 O
2.500 4.923 3.567 O
3.152 1.097 1.218 O
3.573 2.500 3.567 O
4.248 0.000 3.430 O
4.923 5.997 3.567 O
5.345 7.400 1.218 O
5.997 3.573 3.567 O
6.748 7.822 3.567 O
7.400 3.152 1.218 O
7.822 1.749 3.567 O
```

SG: P4bm, No. 100
formation energy without anion corrections: -2.9979 eV per atom
V: 15.0 Å³/atom


[5]
Entry from Alexandria: BaMnOs2Cl at its PBEsol-relaxed geometry (meta-GGA SCAN).

Structure (POSCAR):
```
BaMnOs2Cl
1.0
4.409 0.000 0.000
0.000 4.409 0.000
0.000 0.000 5.552
Ba Mn Os Cl
1 1 2 1
Cartesian
0.000 0.000 0.000 Ba
2.204 2.204 2.776 Mn
0.000 2.204 2.776 Os
2.204 0.000 2.776 Os
2.204 2.204 0.000 Cl
```

SG: P4/mmm, No. 123
formation energy without anion corrections: 0.7083 eV per atom
V: 21.6 Å³/atom


[6]
Entry from Alexandria: Ba3MoCl at its PBEsol-relaxed geometry (meta-GGA SCAN).

Structure (POSCAR):
```
Ba3MoCl
1.0
5.829 0.000 0.000
0.000 5.829 0.000
0.000 0.000 5.829
Ba Mo Cl
3 1 1
Cartesian
0.000 0.000 2.914 Ba
0.000 2.914 0.000 Ba
2.914 0.000 0.000 Ba
0.000 0.000 0.000 Mo
2.914 2.914 2.914 Cl
```

SG: Pm-3m, No. 221
formation energy without anion corrections: 0.1478 eV per atom
V: 39.6 Å³/atom


[7]
Entry from Alexandria: BaMoPCl2 at its PBEsol-relaxed geometry (meta-GGA SCAN).

Structure (POSCAR):
```
BaMoPCl2
1.0
4.928 0.000 0.000
0.000 4.928 0.000
0.000 0.000 4.703
Ba Mo P Cl
1 1 1 2
Cartesian
0.000 0.000 0.000 Ba
2.464 2.464 2.352 Mo
2.464 2.464 0.000 P
0.000 2.464 2.352 Cl
2.464 0.000 2.352 Cl
```

SG: P4/mmm, No. 123
formation energy without anion corrections: -1.0111 eV per atom
V: 22.8 Å³/atom


[8]
Entry from Alexandria: BaScMoCl2 at its PBEsol-relaxed geometry (meta-GGA SCAN).

Structure (POSCAR):
```
BaScMoCl2
1.0
5.602 0.000 0.000
0.000 5.602 0.000
0.000 0.000 6.785
Ba Sc Mo Cl
1 1 1 2
Cartesian
0.000 0.000 0.000 Ba
2.801 2.801 3.393 Sc
0.000 0.000 3.393 Mo
0.000 2.801 0.000 Cl
2.801 0.000 0.000 Cl
```

SG: P4/mmm, No. 123
formation energy without anion corrections: 0.2528 eV per atom
V: 42.6 Å³/atom


[9]
Entry from Alexandria: BaNCl2 at its PBEsol-relaxed geometry (meta-GGA SCAN).

Structure (POSCAR):
```
BaNCl2
1.0
0.000 3.644 3.644
3.644 0.000 3.644
3.644 3.644 0.000
Ba N Cl
1 1 2
Cartesian
0.000 0.000 0.000 Ba
3.644 3.644 3.644 N
1.822 1.822 1.822 Cl
5.466 5.466 5.466 Cl
```

SG: Fm-3m, No. 225
formation energy without anion corrections: -0.9927 eV per atom
V: 24.2 Å³/atom


[10]
Entry from Alexandria: BaNClO2 at its PBEsol-relaxed geometry (meta-GGA SCAN).

Structure (POSCAR):
```
BaNClO2
1.0
4.227 0.000 0.000
0.000 4.227 0.000
0.000 0.000 3.682
Ba N Cl O
1 1 1 2
Cartesian
0.000 0.000 0.000 Ba
2.114 2.114 0.000 N
2.114 2.114 1.841 Cl
0.000 2.114 1.841 O
2.114 0.000 1.841 O
```

SG: P4/mmm, No. 123
formation energy without anion corrections: 0.0344 eV per atom
V: 13.2 Å³/atom